The following is a GGA-PBE calculation of an optimized crystal structure of GeOs3F, from the Alexandria database.

a = 4.2286 Å, b = 4.2286 Å, c = 4.2286 Å
α = 90.00°, β = 90.00°, γ = 90.00°
With the nearest neighbours (Å) after each atom.
Atoms (fractional coordinates):
Ge: 0.5000 0.5000 0.5000  12 Os 2.99
Os: 0.0000 0.5000 0.0000  2 F 2.11
Os: 0.0000 0.0000 0.5000  2 F 2.11
Os: 0.5000 0.0000 0.0000  2 F 2.11
F: 0.0000 0.0000 0.0000  6 Os 2.11

Space group: No. 221

=====

The following is a GGA-PBE calculation of an optimized crystal structure of Ge3OsF, from the Alexandria database.

a = 4.3486 Å, b = 4.3486 Å, c = 4.3486 Å
α = 90.00°, β = 90.00°, γ = 90.00°
With the nearest neighbours (Å) after each atom.
Atoms (fractional coordinates):
Ge: 0.0000 0.5000 0.0000  2 F 2.17
Ge: 0.0000 0.0000 0.5000  2 F 2.17
Ge: 0.5000 0.0000 0.0000  2 F 2.17
Os: 0.5000 0.5000 0.5000  12 Ge 3.07
F: 0.0000 0.0000 0.0000  6 Ge 2.17

Space group: No. 221

=====

The following is a GGA-PBE calculation of an optimized crystal structure of GeOsF2, from the Alexandria database.

a = 8.2757 Å, b = 8.2757 Å, c = 8.2757 Å
α = 19.06°, β = 19.06°, γ = 19.06°
With the nearest neighbours (Å) after each atom.
Atoms (fractional coordinates):
Ge: 0.5000 0.5000 0.5000  6 F 2.60, 6 Ge 2.74
Os: 0.0000 0.0000 0.0000  2 F 2.00
F: 0.9179 0.9179 0.9179  1 Os 2.00
F: 0.0821 0.0821 0.0821  1 Os 2.00

Space group: No. 166

=====

The following is a GGA-PBE calculation of an optimized crystal structure of GeOs2SF, from the Alexandria database.

a = 4.7063 Å, b = 4.6781 Å, c = 4.7063 Å
α = 90.00°, β = 90.00°, γ = 90.00°
With the nearest neighbours (Å) after each atom.
Atoms (fractional coordinates):
Ge: 0.0000 0.0000 0.0000  2 S 2.34, 4 Os 2.35
Os: 0.0000 0.0000 0.5000  2 Ge 2.35
Os: 0.5000 0.0000 0.0000  2 Ge 2.35
S: 0.0000 0.5000 0.0000  2 Ge 2.34
F: 0.5000 0.5000 0.5000  8 Os 3.32, 4 S 3.33

Space group: No. 123

=====

The following is a GGA-PBE calculation of an optimized crystal structure of Si2GeOsF, from the Alexandria database.

a = 4.5830 Å, b = 4.8038 Å, c = 4.5830 Å
α = 90.00°, β = 90.00°, γ = 90.00°
With the nearest neighbours (Å) after each atom.
Atoms (fractional coordinates):
Ge: 0.0000 0.5000 0.0000  2 Os 2.40
Os: 0.0000 0.0000 0.0000  4 Si 2.29, 2 Ge 2.40
Si: 0.0000 0.0000 0.5000  2 Os 2.29
Si: 0.5000 0.0000 0.0000  2 Os 2.29
F: 0.5000 0.5000 0.5000  4 Ge 3.24, 8 Si 3.32

Space group: No. 123

=====

The following is a GGA-PBE calculation of an optimized crystal structure of GeTe2OsF, from the Alexandria database.

a = 4.8301 Å, b = 4.2620 Å, c = 4.8301 Å
α = 90.00°, β = 90.00°, γ = 90.00°
With the nearest neighbours (Å) after each atom.
Atoms (fractional coordinates):
Ge: 0.0000 0.5000 0.0000  2 F 2.13
Te: 0.0000 0.0000 0.5000  2 F 2.42
Te: 0.5000 0.0000 0.0000  2 F 2.42
Os: 0.5000 0.5000 0.5000  8 Te 3.22, 4 Ge 3.42
F: 0.0000 0.0000 0.0000  2 Ge 2.13

Space group: No. 123

=====

The following is a GGA-PBE calculation of an optimized crystal structure of Ge2TeOsF, from the Alexandria database.

a = 4.2451 Å, b = 5.2364 Å, c = 4.2451 Å
α = 90.00°, β = 90.00°, γ = 90.00°
With the nearest neighbours (Å) after each atom.
Atoms (fractional coordinates):
Ge: 0.0000 0.0000 0.5000  2 F 2.12
Ge: 0.5000 0.0000 0.0000  2 F 2.12
Te: 0.0000 0.5000 0.0000  2 F 2.62
Os: 0.5000 0.5000 0.5000  4 Te 3.00
F: 0.0000 0.0000 0.0000  4 Ge 2.12

Space group: No. 123

=====

The following is a GGA-PBE calculation of an optimized crystal structure of GeP2F, from the Alexandria database.

a = 4.3075 Å, b = 4.3075 Å, c = 4.3075 Å
α = 60.00°, β = 60.00°, γ = 60.00°
With the nearest neighbours (Å) after each atom.
Atoms (fractional coordinates):
P: 0.2500 0.2500 0.2500  4 Ge 2.64, 4 F 2.64
P: 0.7500 0.7500 0.7500  4 F 2.64, 4 Ge 2.64
Ge: 0.5000 0.5000 0.5000  8 P 2.64
F: 0.0000 0.0000 0.0000  8 P 2.64

Space group: No. 225

=====

The following is a GGA-PBE calculation of an optimized crystal structure of Ge3PF, from the Alexandria database.

a = 4.8564 Å, b = 4.8564 Å, c = 4.8564 Å
α = 90.00°, β = 90.00°, γ = 90.00°
With the nearest neighbours (Å) after each atom.
Atoms (fractional coordinates):
P: 0.0000 0.0000 0.0000  6 Ge 2.43
Ge: 0.0000 0.5000 0.0000  2 P 2.43
Ge: 0.0000 0.0000 0.5000  2 P 2.43
Ge: 0.5000 0.0000 0.0000  2 P 2.43
F: 0.5000 0.5000 0.5000  12 Ge 3.43

Space group: No. 221

=====

The following is a GGA-PBE calculation of an optimized crystal structure of GeP2F, from the Alexandria database.

a = 5.7898 Å, b = 5.7898 Å, c = 6.3848 Å
α = 63.04°, β = 63.04°, γ = 90.00°
With the nearest neighbours (Å) after each atom.
Atoms (fractional coordinates):
P: 0.6246 0.1250 0.2500  2 F 2.38, 2 Ge 2.39
P: 0.1254 0.6250 0.2500  2 F 2.38, 2 Ge 2.39
P: 0.3750 0.3754 0.7500  2 F 2.38, 2 Ge 2.39
P: 0.8750 0.8746 0.7500  2 F 2.38, 2 Ge 2.39
Ge: 0.0000 0.0000 0.0000  4 P 2.39
Ge: 0.7500 0.2500 0.5000  4 P 2.39
F: 0.5000 0.5000 0.0000  4 P 2.38
F: 0.2500 0.7500 0.5000  4 P 2.38

Space group: No. 122

=====

The following is a GGA-PBE calculation of an optimized crystal structure of Ge3PF, from the Alexandria database.

a = 4.6016 Å, b = 4.6016 Å, c = 4.6016 Å
α = 90.00°, β = 90.00°, γ = 90.00°
With the nearest neighbours (Å) after each atom.
Atoms (fractional coordinates):
P: 0.5000 0.5000 0.5000  12 Ge 3.25
Ge: 0.0000 0.5000 0.0000  2 F 2.30
Ge: 0.0000 0.0000 0.5000  2 F 2.30
Ge: 0.5000 0.0000 0.0000  2 F 2.30
F: 0.0000 0.0000 0.0000  6 Ge 2.30

Space group: No. 221

=====

The following is a GGA-PBE calculation of an optimized crystal structure of GeP2RuF, from the Alexandria database.

a = 4.6160 Å, b = 4.7819 Å, c = 4.6160 Å
α = 90.00°, β = 90.00°, γ = 90.00°
With the nearest neighbours (Å) after each atom.
Atoms (fractional coordinates):
Ru: 0.0000 0.5000 0.0000  2 Ge 2.39
Ge: 0.0000 0.0000 0.0000  4 P 2.31, 2 Ru 2.39
F: 0.5000 0.5000 0.5000  4 Ru 3.26, 8 P 3.32
P: 0.0000 0.0000 0.5000  2 Ge 2.31
P: 0.5000 0.0000 0.0000  2 Ge 2.31

Space group: No. 123

=====

In the order shown, the computed energy relative to the elements, uncorrected values come out to 1744; 528; -743; 1721; -111; 768; 597; 37; 371; 158; 255; 1001 meV per atom.